First-principles (PBE) data for crystalline Tm4Mg3Cu at its relaxed geometry, as listed in Alexandria.

The structure in POSCAR format:
```
Tm4Mg3Cu
1.0
3.530 0.000 0.000
0.000 3.530 0.000
0.000 0.000 15.932
Tm Mg Cu
4 3 1
direct
0.000 0.000 0.102
0.000 0.000 0.369
0.000 0.000 0.631
0.000 0.000 0.898
0.500 0.500 0.239
0.500 0.500 0.500
0.500 0.500 0.761
0.500 0.500 0.000
```

Output
* formation energy: -0.1002 eV/atom
* SG: P4/mmm

---

First-principles (PBE) data for crystalline Er2MgHg4 at its relaxed geometry, as listed in Alexandria.

The structure in POSCAR format:
```
Er2MgHg4
1.0
-2.597 2.597 7.587
2.597 -2.597 7.587
2.597 2.597 -7.587
Er Mg Hg
2 1 4
direct
0.113 0.113 0.000
0.887 0.887 0.000
0.500 0.500 0.000
0.000 0.500 0.500
0.310 0.310 0.000
0.500 0.000 0.500
0.690 0.690 0.000
```

Output
* distance to the lowest polymorph of the same formula: 0.289 eV/atom
* formation energy: -0.0235 eV/atom
* SG: I4/mmm

---

First-principles (PBE) data for crystalline Ba2YAg3O6 at its relaxed geometry, as listed in Alexandria.

The structure in POSCAR format:
```
Ba2YAg3O6
1.0
4.107 0.000 0.000
0.000 4.107 0.000
0.000 0.000 12.696
Ba Y Ag O
2 1 3 6
direct
0.000 0.000 0.203
0.000 0.000 0.797
0.000 0.000 0.500
0.500 0.500 0.000
0.500 0.500 0.365
0.500 0.500 0.635
0.000 0.500 0.389
0.000 0.500 0.611
0.500 0.000 0.389
0.500 0.000 0.611
0.500 0.500 0.162
0.500 0.500 0.838
```

Output
* formation energy (no corrections): -1.554 eV per atom
* SG: P4/mmm